(1)
Density functional theory data (PBE) for a geometry-optimized Ac2SeI structure.

Unit cell a=4.3149 b=4.3149 c=9.0385 alpha=76.19 beta=76.19 gamma=60.00
Sites, in units of the cell vectors:
Ac (0.2632, 0.2632, 0.2103)
Se (0.0000, 0.0000, 0.0000)
I (0.5000, 0.5000, 0.5000)
Ac (0.7368, 0.7368, 0.7897)

Output
The space group is R-3m. As for the relative energy among the computed polymorphs: 0.03 eV per formula unit.

(2)
Density functional theory data (PBE) for a geometry-optimized AcSe2I structure.

Unit cell a=4.8274 b=4.8274 c=8.8846 alpha=74.24 beta=74.24 gamma=60.00
Sites, in units of the cell vectors:
Ac (0.5000, 0.5000, 0.5000)
Se (0.8900, 0.8900, 0.3301)
I (0.0000, 0.0000, 0.0000)
Se (0.1100, 0.1100, 0.6699)

Output
The space group is R-3m.

For reference, magnetization by record: 0.00; 0.00 μB/cell.
For reference, energy relative to the elements, uncorrected by record: -1350; -1179 meV per atom.
For reference, raw total energy by record: -18.651; -17.343 eV/cell.